The following is a DFT calculation (GGA-PBE) of a relaxed LiCa2Gd crystal.

* crystal system: trigonal
* formation energy from the elements: 0.2420 eV per atom
* V: 34.95 Å³/atom
* M_tot: 7.83 μB/f.u.
* E above lowest polymorph: 0.66 eV/f.u.

a b c (Å): 3.5863 3.5863 12.7222
angles (deg): 81.90 81.90 60.00
Closest atoms and distances in Å follow each position.
Atoms (fractional coordinates):
1 Gd 0.0000 0.0000 0.0000  2 Ca 3.44, 6 Gd 3.59
2 Ca 0.9086 0.9086 0.2742  1 Gd 3.44, 3 Li 3.51, 6 Ca 3.59
3 Ca 0.0914 0.0914 0.7258  1 Gd 3.44, 3 Li 3.51, 6 Ca 3.59
4 Li 0.5000 0.5000 0.5000  6 Ca 3.51, 6 Li 3.59


The following is a DFT calculation (GGA-PBE) of a relaxed CaErMg2Au4 crystal.

* crystal system: trigonal
* formation energy from the elements: -0.7283 eV per atom
* V: 20.93 Å³/atom
* M_tot: 0.00 μB/f.u.

a b c (Å): 4.9147 4.9147 8.4930
angles (deg): 73.18 73.18 60.00
Closest atoms and distances in Å follow each position.
Atoms (fractional coordinates):
1 Er 0.5000 0.5000 0.5000  8 Au 2.94-2.98
2 Ca 0.0000 0.0000 0.0000  8 Au 3.03-3.08
3 Au 0.1283 0.1283 0.6152  4 Mg 2.94-3.04, 3 Er 2.98, 1 Ca 3.08
4 Au 0.8717 0.8717 0.3848  4 Mg 2.94-3.04, 3 Er 2.98, 1 Ca 3.08
5 Au 0.6224 0.6224 0.1329  1 Er 2.94, 4 Mg 2.98-3.05, 3 Ca 3.03
6 Au 0.3776 0.3776 0.8671  1 Er 2.94, 4 Mg 2.98-3.05, 3 Ca 3.03
7 Mg 0.2507 0.2507 0.2480  8 Au 2.94-3.05
8 Mg 0.7493 0.7493 0.7520  8 Au 2.94-3.05


The following is a DFT calculation (GGA-PBE) of a relaxed Ba3Zn2Pb4 crystal.

* crystal system: monoclinic
* formation energy from the elements: -0.4151 eV per atom
* V: 33.78 Å³/atom
* M_tot: 0.00 μB/f.u.
* E above lowest polymorph: 0.00 eV/f.u.

a b c (Å): 5.0797 6.7801 9.6590
angles (deg): 99.03 90.00 112.00
Closest atoms and distances in Å follow each position.
Atoms (fractional coordinates):
1 Pb 0.9105 0.8210 0.6045  3 Zn 2.94-3.11, 1 Pb 3.27
2 Pb 0.7039 0.4078 0.0760  1 Zn 2.91, 2 Pb 3.24-3.25
3 Pb 0.0895 0.1790 0.3955  3 Zn 2.94-3.11, 1 Pb 3.27
4 Pb 0.2961 0.5922 0.9240  1 Zn 2.91, 2 Pb 3.24-3.25
5 Zn 0.2966 0.5933 0.6231  4 Pb 2.91-3.11
6 Zn 0.7034 0.4067 0.3769  4 Pb 2.91-3.11
7 Ba 0.3799 0.7597 0.3043  3 Zn 3.42-3.52, 7 Pb 3.65-3.82
8 Ba 0.0000 0.0000 0.0000  8 Pb 3.59-3.91
9 Ba 0.6201 0.2403 0.6957  3 Zn 3.42-3.52, 7 Pb 3.65-3.82


The following is a DFT calculation (GGA-PBE) of a relaxed Ni6Pt4Rh crystal.

* crystal system: orthorhombic
* formation energy from the elements: 0.0910 eV per atom
* V: 13.55 Å³/atom
* M_tot: 6.41 μB/f.u.

a b c (Å): 4.4318 4.1593 19.1150
angles (deg): 90.00 90.00 122.19
Closest atoms and distances in Å follow each position.
Atoms (fractional coordinates):
1 Rh 0.3010 0.6020 0.7500  9 Ni 2.45-2.74
2 Rh 0.6990 0.3980 0.2500  9 Ni 2.45-2.74
3 Ni 0.7997 0.5995 0.0914  7 Pt 2.50-2.69, 2 Ni 2.52-2.74
4 Ni 0.0460 0.0920 0.3128  3 Ni 2.40-2.52, 2 Pt 2.54
5 Ni 0.9540 0.9080 0.8128  3 Ni 2.40-2.52, 2 Pt 2.54
6 Ni 0.7997 0.5995 0.4086  7 Pt 2.50-2.69, 2 Ni 2.52-2.74
7 Ni 0.9540 0.9080 0.6872  3 Ni 2.40-2.52, 2 Pt 2.54
8 Ni 0.5000 0.0000 0.0000  8 Pt 2.50-2.65, 2 Ni 2.74
9 Ni 0.5000 0.0000 0.5000  8 Pt 2.50-2.65, 2 Ni 2.74
10 Ni 0.0460 0.0920 0.1872  3 Ni 2.40-2.52, 2 Pt 2.54
11 Ni 0.3481 0.6963 0.2500  2 Pt 2.43, 2 Ni 2.44, 3 Rh 2.45-2.47
12 Ni 0.2003 0.4005 0.5914  7 Pt 2.50-2.69, 2 Ni 2.52-2.74
13 Ni 0.6519 0.3037 0.7500  2 Pt 2.43, 2 Ni 2.44, 3 Rh 2.45-2.47
14 Ni 0.2003 0.4005 0.9086  7 Pt 2.50-2.69, 2 Ni 2.52-2.74
15 Pt 0.1464 0.2927 0.4522  8 Ni 2.58-2.76, 2 Pt 2.72-2.75
16 Pt 0.8536 0.7073 0.9522  8 Ni 2.58-2.76, 2 Pt 2.72-2.75
17 Pt 0.4613 0.9226 0.1302  7 Ni 2.43-2.60
18 Pt 0.5387 0.0774 0.6302  7 Ni 2.43-2.60
19 Pt 0.1464 0.2927 0.0478  8 Ni 2.58-2.76, 2 Pt 2.72-2.75
20 Pt 0.8536 0.7073 0.5478  8 Ni 2.58-2.76, 2 Pt 2.72-2.75
21 Pt 0.4613 0.9226 0.3698  7 Ni 2.43-2.60
22 Pt 0.5387 0.0774 0.8698  7 Ni 2.43-2.60


The following is a DFT calculation (GGA-PBE) of a relaxed Ir3Pd crystal.

* crystal system: orthorhombic
* formation energy from the elements: 0.1554 eV per atom
* V: 14.74 Å³/atom
* M_tot: 0.00 μB/f.u.

a b c (Å): 2.7639 4.7521 5.2637
angles (deg): 116.83 105.22 90.00
Closest atoms and distances in Å follow each position.
Atoms (fractional coordinates):
1 Ir 0.7550 0.0916 0.5100  9 Ir 2.71-2.80, 3 Pd 2.73-2.78
2 Ir 0.2450 0.5816 0.4900  9 Ir 2.71-2.80, 3 Pd 2.73-2.78
3 Ir 0.5000 0.4972 0.0000  8 Ir 2.71-2.80, 4 Pd 2.74-2.75
4 Pd 0.0000 0.9963 0.0000  10 Ir 2.73-2.78, 2 Pd 2.76


The following is a DFT calculation (GGA-PBE) of a relaxed NdPt2Rh crystal.

* crystal system: trigonal
* formation energy from the elements: -0.7932 eV per atom
* V: 18.90 Å³/atom
* M_tot: 0.00 μB/f.u.

a b c (Å): 5.4264 5.4264 9.4291
angles (deg): 73.28 73.28 60.00
Closest atoms and distances in Å follow each position.
Atoms (fractional coordinates):
1 Nd 0.1399 0.1399 0.5803  9 Pt 3.11-3.34, 3 Rh 3.21, 3 Nd 3.44
2 Nd 0.0000 0.0000 0.0000  6 Rh 3.13, 12 Pt 3.50
3 Nd 0.8601 0.8601 0.4197  9 Pt 3.11-3.34, 3 Rh 3.21, 3 Nd 3.44
4 Rh 0.5000 0.5000 0.5000  6 Pt 2.74
5 Rh 0.3327 0.3327 0.0018  6 Pt 2.69-2.73
6 Rh 0.6673 0.6673 0.9982  6 Pt 2.69-2.73
7 Pt 0.4161 0.4161 0.2486  3 Rh 2.69-2.74, 4 Pt 2.70-2.73
8 Pt 0.5839 0.5839 0.7514  3 Rh 2.69-2.74, 4 Pt 2.70-2.73
9 Pt 0.4161 0.9192 0.2486  3 Rh 2.69-2.74, 4 Pt 2.70-2.73
10 Pt 0.9192 0.4161 0.2486  3 Rh 2.69-2.74, 4 Pt 2.70-2.73
11 Pt 0.0808 0.5839 0.7514  3 Rh 2.69-2.74, 4 Pt 2.70-2.73
12 Pt 0.5839 0.0808 0.7514  3 Rh 2.69-2.74, 4 Pt 2.70-2.73